1.
Material: KBrO4
Method: DFT, PBEsol
State: optimized geometry

a b c (Å): 8.983 5.879 7.490
angles (deg): 90.00 90.00 90.00
Fractional coordinates of all 24 atoms:
K1 0.178 0.250 0.162
K2 0.322 0.750 0.662
K3 0.678 0.250 0.338
K4 0.822 0.750 0.838
Br1 0.070 0.250 0.684
Br2 0.430 0.750 0.184
Br3 0.570 0.250 0.816
Br4 0.930 0.750 0.316
O1 0.081 0.023 0.813
O2 0.081 0.477 0.813
O3 0.088 0.750 0.422
O4 0.211 0.250 0.545
O5 0.289 0.750 0.045
O6 0.412 0.250 0.922
O7 0.419 0.523 0.313
O8 0.419 0.977 0.313
O9 0.581 0.023 0.687
O10 0.581 0.477 0.687
O11 0.588 0.750 0.078
O12 0.711 0.250 0.955
O13 0.789 0.750 0.455
O14 0.912 0.250 0.578
O15 0.919 0.523 0.187
O16 0.919 0.977 0.187

Results
Its space group is Pnma. As for the crystal system: orthorhombic. The calculation puts the formation energy (no corrections) at -36 kJ/mol of atoms. The theoretical density comes out at 3.1 g cm⁻³. The value obtained for the density of states at the Fermi level is 0.000 states/eV per atom.

---

2.
Material: KBr2O
Method: DFT, PBEsol
State: optimized geometry

a b c (Å): 7.564 7.564 7.564
angles (deg): 129.81 129.81 73.72
Fractional coordinates of all 8 atoms:
K1 0.000 0.000 0.000
K2 0.750 0.250 0.500
Br1 0.339 0.625 0.214
Br2 0.375 0.589 0.714
Br3 0.411 0.125 0.786
Br4 0.875 0.661 0.286
O1 0.250 0.750 0.500
O2 0.500 0.500 0.000

Results
Its space group is I-42d. As for the crystal system: tetragonal. The calculation puts the formation energy (no corrections) at -40 kJ/mol of atoms. The theoretical density comes out at 2.9 g cm⁻³. The value obtained for the density of states at the Fermi level is 0.094 states/eV per atom.

---

3.
Material: KP2BrO
Method: DFT, PBEsol
State: optimized geometry

a b c (Å): 6.011 6.011 4.470
angles (deg): 90.00 90.00 90.00
Fractional coordinates of all 5 atoms:
K1 0.000 0.000 0.000
P1 0.000 0.500 0.000
P2 0.500 0.000 0.000
Br1 0.500 0.500 0.500
O1 0.000 0.000 0.500

Results
Its space group is P4/mmm. As for the crystal system: tetragonal. The calculation puts the formation energy (no corrections) at 154 kJ/mol of atoms. The theoretical density comes out at 2.0 g cm⁻³. The value obtained for the density of states at the Fermi level is 1.937 states/eV per atom.

---

4.
Material: KRuBrO2
Method: DFT, PBEsol
State: optimized geometry

a b c (Å): 4.392 4.392 5.727
angles (deg): 90.00 90.00 90.00
Fractional coordinates of all 5 atoms:
K1 0.000 0.000 0.000
Ru1 0.500 0.500 0.500
Br1 0.000 0.000 0.500
O1 0.000 0.500 0.000
O2 0.500 0.000 0.000

Results
Its space group is P4/mmm. As for the crystal system: tetragonal. The calculation puts the formation energy (no corrections) at 131 kJ/mol of atoms. The theoretical density comes out at 3.8 g cm⁻³. The value obtained for the density of states at the Fermi level is 1.207 states/eV per atom.

---

5.
Material: K2OsBr6
Method: DFT, PBEsol
State: optimized geometry

a b c (Å): 7.207 7.207 7.207
angles (deg): 60.00 60.00 60.00
Fractional coordinates of all 9 atoms:
K1 0.250 0.250 0.250
K2 0.750 0.750 0.750
Os1 0.000 0.000 0.000
Br1 0.243 0.243 0.757
Br2 0.243 0.757 0.243
Br3 0.243 0.757 0.757
Br4 0.757 0.243 0.243
Br5 0.757 0.243 0.757
Br6 0.757 0.757 0.243

Results
Its space group is Fm-3m. As for the crystal system: cubic. The calculation puts the formation energy (no corrections) at -82 kJ/mol of atoms. The theoretical density comes out at 4.7 g cm⁻³. The value obtained for the density of states at the Fermi level is 0.511 states/eV per atom.

---

6.
Material: K2OsBr
Method: DFT, PBEsol
State: optimized geometry

a b c (Å): 4.675 4.675 6.804
angles (deg): 90.00 90.00 90.00
Fractional coordinates of all 4 atoms:
K1 0.000 0.000 0.000
K2 0.500 0.500 0.500
Os1 0.000 0.000 0.500
Br1 0.500 0.500 0.000

Results
Its space group is P4/mmm. As for the crystal system: tetragonal. The calculation puts the formation energy (no corrections) at 85 kJ/mol of atoms. The theoretical density comes out at 3.9 g cm⁻³. The value obtained for the density of states at the Fermi level is 1.169 states/eV per atom. Its energy above the most stable polymorph in this dataset is 8.3 meV per atom.

---

7.
Material: K2OsBr
Method: DFT, PBEsol
State: optimized geometry

a b c (Å): 5.651 5.651 5.651
angles (deg): 120.62 120.62 88.94
Fractional coordinates of all 4 atoms:
K1 0.250 0.750 0.500
K2 0.750 0.250 0.500
Os1 0.000 0.000 0.000
Br1 0.500 0.500 0.000

Results
Its space group is I4/mmm. As for the crystal system: tetragonal. The calculation puts the formation energy (no corrections) at 84 kJ/mol of atoms. The theoretical density comes out at 4.6 g cm⁻³. The value obtained for the density of states at the Fermi level is 2.372 states/eV per atom. Its energy above the most stable polymorph in this dataset is 0.0 meV per atom.

---

8.
Material: K3PBr
Method: DFT, PBEsol
State: optimized geometry

a b c (Å): 5.935 5.935 5.935
angles (deg): 90.00 90.00 90.00
Fractional coordinates of all 5 atoms:
K1 0.000 0.000 0.500
K2 0.000 0.500 0.000
K3 0.500 0.000 0.000
P1 0.500 0.500 0.500
Br1 0.000 0.000 0.000

Results
Its space group is Pm-3m. As for the crystal system: cubic. The calculation puts the formation energy (no corrections) at -40 kJ/mol of atoms. The theoretical density comes out at 1.8 g cm⁻³. The value obtained for the density of states at the Fermi level is 0.745 states/eV per atom.

---

9.
Material: KP2Br
Method: DFT, PBEsol
State: optimized geometry

a b c (Å): 4.764 4.776 5.909
angles (deg): 90.00 90.00 90.00
Fractional coordinates of all 4 atoms:
K1 0.000 0.000 0.000
P1 0.500 0.500 0.164
P2 0.500 0.500 0.836
Br1 0.000 0.000 0.500

Results
Its space group is Pmmm. As for the crystal system: orthorhombic. The calculation puts the formation energy (no corrections) at -18 kJ/mol of atoms. The theoretical density comes out at 2.2 g cm⁻³. Its energy above the most stable polymorph in this dataset is 223.0 meV per atom.

---

10.
Material: KP2Br
Method: DFT, PBEsol
State: optimized geometry

a b c (Å): 8.255 8.255 8.255
angles (deg): 25.58 25.58 25.58
Fractional coordinates of all 4 atoms:
K1 0.000 0.000 0.000
P1 0.486 0.486 0.486
P2 0.772 0.772 0.772
Br1 0.241 0.241 0.241

Results
Its space group is R3m. As for the crystal system: trigonal. The calculation puts the formation energy (no corrections) at -39 kJ/mol of atoms. The theoretical density comes out at 3.3 g cm⁻³. The value obtained for the density of states at the Fermi level is 0.009 states/eV per atom. Its energy above the most stable polymorph in this dataset is 0.0 meV per atom.

---

11.
Material: KPBr
Method: DFT, PBEsol
State: optimized geometry

a b c (Å): 5.879 5.879 5.879
angles (deg): 137.43 137.43 61.78
Fractional coordinates of all 3 atoms:
K1 0.000 0.000 0.000
P1 0.324 0.324 0.000
Br1 0.659 0.659 0.000

Results
Its space group is I4mm. As for the crystal system: tetragonal. The calculation puts the formation energy (no corrections) at 15 kJ/mol of atoms. The theoretical density comes out at 2.7 g cm⁻³. The value obtained for the density of states at the Fermi level is 0.062 states/eV per atom.

---

12.
Material: KP2Br
Method: DFT, PBEsol
State: optimized geometry

a b c (Å): 4.379 6.187 4.602
angles (deg): 90.00 90.62 90.00
Fractional coordinates of all 4 atoms:
K1 0.000 0.000 0.000
P1 0.387 0.500 0.819
P2 0.613 0.500 0.181
Br1 0.500 0.000 0.500

Results
Its space group is P2/m. As for the crystal system: monoclinic. The calculation puts the formation energy (no corrections) at -30 kJ/mol of atoms. The theoretical density comes out at 2.4 g cm⁻³. Its energy above the most stable polymorph in this dataset is 95.8 meV per atom.